Material: Na3NiF6
Method: DFT, GGA-PBEsol
State: optimized geometry

The structure in POSCAR format:
```
Na3NiF6
1.0
-0.969 -0.762 5.251
-2.256 -5.142 -1.162
6.993 -3.223 0.684
F Ni Na
12 2 6
direct
0.383 0.445 0.280
0.322 0.219 0.578
0.225 0.674 0.545
0.725 0.826 0.045
0.275 0.174 0.955
0.117 0.945 0.220
0.678 0.781 0.422
0.178 0.719 0.922
0.822 0.281 0.078
0.775 0.326 0.455
0.883 0.055 0.780
0.617 0.555 0.720
0.500 0.500 0.500
0.000 0.000 0.000
0.476 0.936 0.756
0.000 0.000 0.500
0.500 0.500 0.000
0.976 0.564 0.256
0.024 0.436 0.744
0.524 0.064 0.244
```

## Properties
Calculated volume, Å³ per atom: 11.95
E_tot, eV/atom: -4.526
Space-group type: No. 14
Formation energy from raw total energies, eV/atom: -2.334


Material: NaNiO2F
Method: DFT, GGA-PBEsol
State: optimized geometry

The structure in POSCAR format:
```
NaNiO2F
1.0
-3.306 -1.916 0.576
0.653 0.062 3.958
-1.972 3.484 0.271
F Ni Na O
1 1 1 2
direct
0.500 0.000 0.000
0.500 0.500 0.500
0.000 0.000 0.000
0.000 0.500 0.000
0.000 0.000 0.500
```

## Properties
Calculated volume, Å³ per atom: 12.44
E_tot, eV/atom: -3.611
Space-group type: No. 123
Formation energy from raw total energies, eV/atom: 0.386


Material: Na2VNiF7
Method: DFT, GGA-PBEsol
State: optimized geometry

The structure in POSCAR format:
```
Na2VNiF7
1.0
7.180 0.000 0.000
3.590 6.302 -0.014
3.590 1.991 5.979
Na F V Ni
4 14 2 2
direct
0.000 0.000 0.000
0.000 0.000 0.500
0.500 0.500 0.500
0.500 0.000 0.500
0.407 0.864 0.323
0.750 0.395 0.105
0.086 0.554 0.678
0.586 0.178 0.054
0.250 0.605 0.895
0.414 0.822 0.946
0.914 0.446 0.322
0.319 0.446 0.322
0.681 0.554 0.678
0.093 0.177 0.636
0.593 0.136 0.677
0.181 0.178 0.054
0.819 0.822 0.946
0.907 0.823 0.364
0.500 0.000 0.000
0.000 0.500 0.500
0.000 0.500 0.000
0.500 0.500 0.000
```

## Properties
Calculated volume, Å³ per atom: 12.31
E_tot, eV/atom: -5.419
Space-group type: No. 74
Formation energy from raw total energies, eV/atom: -2.502


Material: NaOsOF2
Method: DFT, GGA-PBEsol
State: optimized geometry

The structure in POSCAR format:
```
NaOsOF2
1.0
-2.561 1.185 2.458
2.045 -2.082 3.135
2.360 3.488 0.777
F Na O Os
2 1 1 1
direct
0.000 0.000 0.500
0.000 0.500 0.000
0.500 0.500 0.500
0.500 0.000 0.000
0.000 0.000 0.000
```

## Properties
Calculated volume, Å³ per atom: 13.73
E_tot, eV/atom: -5.786
Space-group type: No. 123
Formation energy from raw total energies, eV/atom: -1.242


Material: Na3V2P2O8F3
Method: DFT, GGA-PBEsol
State: optimized geometry

The structure in POSCAR format:
```
Na3V2P2O8F3
1.0
9.040 0.000 0.000
0.000 9.074 0.000
0.000 0.000 10.666
O F V Na P
32 12 8 12 8
direct
0.906 0.903 0.168
0.094 0.597 0.668
0.597 0.597 0.157
0.094 0.097 0.832
0.903 0.097 0.657
0.097 0.403 0.842
0.094 0.597 0.332
0.406 0.097 0.832
0.903 0.597 0.842
0.406 0.597 0.332
0.906 0.403 0.668
0.597 0.097 0.658
0.403 0.903 0.658
0.903 0.597 0.158
0.906 0.903 0.832
0.097 0.903 0.343
0.903 0.097 0.343
0.403 0.903 0.342
0.406 0.097 0.168
0.094 0.097 0.168
0.594 0.903 0.168
0.597 0.097 0.342
0.403 0.403 0.843
0.906 0.403 0.332
0.403 0.403 0.157
0.594 0.403 0.332
0.097 0.403 0.158
0.594 0.903 0.832
0.594 0.403 0.668
0.097 0.903 0.657
0.597 0.597 0.843
0.406 0.597 0.668
0.250 0.239 0.633
0.750 0.261 0.867
0.250 0.744 0.500
0.750 0.761 0.633
0.750 0.261 0.133
0.250 0.739 0.867
0.750 0.756 0.000
0.250 0.244 0.000
0.250 0.739 0.133
0.750 0.256 0.500
0.750 0.761 0.367
0.250 0.239 0.367
0.750 0.755 0.183
0.250 0.745 0.683
0.250 0.745 0.317
0.750 0.755 0.817
0.250 0.245 0.183
0.750 0.255 0.683
0.250 0.245 0.817
0.750 0.255 0.317
0.541 0.703 0.500
0.041 0.296 0.500
0.750 0.484 0.000
0.750 0.984 0.500
0.959 0.203 0.000
0.541 0.204 0.000
0.041 0.797 0.000
0.250 0.516 0.000
0.250 0.016 0.500
0.459 0.297 0.500
0.959 0.704 0.500
0.459 0.796 0.000
0.000 0.000 0.257
0.000 0.000 0.743
0.000 0.500 0.244
0.500 0.500 0.757
0.500 0.000 0.744
0.000 0.500 0.756
0.500 0.000 0.256
0.500 0.500 0.243
```

## Properties
Calculated volume, Å³ per atom: 12.15
E_tot, eV/atom: -7.032
Space-group type: No. 63
Formation energy from raw total energies, eV/atom: -2.430


Material: Na3V2P2O10F
Method: DFT, GGA-PBEsol
State: optimized geometry

The structure in POSCAR format:
```
Na3V2P2O10F
1.0
-4.857 0.058 -4.132
1.972 -5.573 -2.393
-5.978 -5.102 6.956
O V P Na F
20 4 4 6 2
direct
0.990 0.307 0.342
0.490 0.807 0.842
0.692 0.994 0.336
0.490 0.807 0.158
0.806 0.494 0.842
0.515 0.516 0.354
0.692 0.994 0.664
0.015 0.016 0.854
0.806 0.494 0.158
0.015 0.016 0.146
0.307 0.994 0.658
0.497 0.193 0.164
0.307 0.994 0.342
0.990 0.307 0.658
0.192 0.494 0.836
0.497 0.193 0.836
0.997 0.693 0.336
0.997 0.693 0.664
0.515 0.516 0.646
0.192 0.494 0.164
0.504 0.505 0.198
0.004 0.005 0.698
0.004 0.005 0.302
0.504 0.505 0.802
0.495 0.996 0.250
0.995 0.496 0.250
0.495 0.996 0.750
0.995 0.496 0.750
0.237 0.234 0.000
0.737 0.734 0.500
0.255 0.705 0.500
0.201 0.753 0.000
0.755 0.205 0.000
0.701 0.253 0.500
0.990 0.991 0.500
0.490 0.491 0.000
```

## Properties
Calculated volume, Å³ per atom: 11.86
E_tot, eV/atom: -7.328
Space-group type: No. 8
Formation energy from raw total energies, eV/atom: -2.357


Which formula does entry 2 have?
NaNiO2F


Repeat the second record exactly.
Material: NaNiO2F
Method: DFT, GGA-PBEsol
State: optimized geometry

The structure in POSCAR format:
```
NaNiO2F
1.0
-3.306 -1.916 0.576
0.653 0.062 3.958
-1.972 3.484 0.271
F Ni Na O
1 1 1 2
direct
0.500 0.000 0.000
0.500 0.500 0.500
0.000 0.000 0.000
0.000 0.500 0.000
0.000 0.000 0.500
```

## Properties
Calculated volume, Å³ per atom: 12.44
E_tot, eV/atom: -3.611
Space-group type: No. 123
Formation energy from raw total energies, eV/atom: 0.386


Among the records above, which one has the highest E_tot?
NaNiO2F